VASP calculation (SCAN) on a PBEsol-optimized structure of CoBC2.

E ... -169.536 eV for the cell shown

Unit cell a=4.0208 b=4.0208 c=7.9921 alpha=90.00 beta=90.00 gamma=90.00
With the nearest neighbours (Å) after each atom.
Space group I-42d (No. 122)
Symmetry-distinct sites (fractional):
Co 0.0000 0.0000 0.0000 x4  4 C 1.84
B 0.0000 0.0000 0.5000 x4  4 C 1.65
C 0.2089 0.2500 0.6250 x8  2 B 1.65, 2 Co 1.84